[1]
# PBE CoPbW4C2, relaxed
# crystal system	hexagonal
# final energy	-9.757	eV/atom
data_CoPbW4C2
_chemical_formula_sum 'Co1 Pb1 W4 C2'
_cell_length_a 3.1166
_cell_length_b 3.1166
_cell_length_c 13.4974
_cell_angle_alpha 90.00
_cell_angle_beta 90.00
_cell_angle_gamma 120.00
_symmetry_space_group_name_H-M 'P -6 m 2'
_symmetry_Int_Tables_number 187
_symmetry_space_group_name_Hall 'P -6 2'
loop_
_atom_site_label
_atom_site_type_symbol
_atom_site_fract_x
_atom_site_fract_y
_atom_site_fract_z
Co1 Co 0.0000 0.0000 0.0000
Pb1 Pb 0.3333 0.6667 0.5000
W1 W 0.0000 0.0000 0.3094
W2 W 0.3333 0.6667 0.1397
C1 C 0.6667 0.3333 0.2283

=====

[2]
# PBE Y4CoPbC2, relaxed
# crystal system	hexagonal
# final energy	-7.126	eV/atom
data_Y4CoPbC2
_chemical_formula_sum 'Y4 Co1 Pb1 C2'
_cell_length_a 3.6180
_cell_length_b 3.6180
_cell_length_c 14.9163
_cell_angle_alpha 90.00
_cell_angle_beta 90.00
_cell_angle_gamma 120.00
_symmetry_space_group_name_H-M 'P -6 m 2'
_symmetry_Int_Tables_number 187
_symmetry_space_group_name_Hall 'P -6 2'
loop_
_atom_site_label
_atom_site_type_symbol
_atom_site_fract_x
_atom_site_fract_y
_atom_site_fract_z
Y1 Y 0.0000 0.0000 0.1345
Y2 Y 0.3333 0.6667 0.3159
Co1 Co 0.3333 0.6667 0.0000
Pb1 Pb 0.0000 0.0000 0.5000
C1 C 0.6667 0.3333 0.2303

=====

[3]
# PBE Zr4CoPbC2, relaxed
# crystal system	hexagonal
# final energy	-8.424	eV/atom
data_Zr4CoPbC2
_chemical_formula_sum 'Zr4 Co1 Pb1 C2'
_cell_length_a 3.3436
_cell_length_b 3.3436
_cell_length_c 14.0813
_cell_angle_alpha 90.00
_cell_angle_beta 90.00
_cell_angle_gamma 120.00
_symmetry_space_group_name_H-M 'P -6 m 2'
_symmetry_Int_Tables_number 187
_symmetry_space_group_name_Hall 'P -6 2'
loop_
_atom_site_label
_atom_site_type_symbol
_atom_site_fract_x
_atom_site_fract_y
_atom_site_fract_z
Zr1 Zr 0.0000 0.0000 0.1354
Zr2 Zr 0.6667 0.3333 0.3199
Co1 Co 0.6667 0.3333 0.0000
Pb1 Pb 0.0000 0.0000 0.5000
C1 C 0.3333 0.6667 0.2329

=====

[4]
# PBE Pm2CoC, relaxed
# crystal system	monoclinic
# final energy	-6.645	eV/atom
data_Pm2CoC
_chemical_formula_sum 'Pm8 Co4 C4'
_cell_length_a 14.004
_cell_length_b 3.640
_cell_length_c 7.349
_cell_angle_alpha 90.00
_cell_angle_beta 105.16
_cell_angle_gamma 90.00
_symmetry_space_group_name_H-M 'C 1 2/c 1'
_symmetry_Int_Tables_number 15
_symmetry_space_group_name_Hall '-C 2yc'
loop_
_atom_site_label
_atom_site_type_symbol
_atom_site_fract_x
_atom_site_fract_y
_atom_site_fract_z
Pm1 Pm 0.126 0.001 0.063
Co1 Co 0.000 0.499 0.750
C1 C 0.000 0.001 0.250

=====

[5]
# PBE Pr2Co2SiC, relaxed
# crystal system	orthorhombic
# final energy	-6.840	eV/atom
data_Pr2Co2SiC
_chemical_formula_sum 'Pr4 Co4 Si2 C2'
_cell_length_a 3.960
_cell_length_b 6.047
_cell_length_c 9.077
_cell_angle_alpha 90.00
_cell_angle_beta 90.00
_cell_angle_gamma 90.00
_symmetry_space_group_name_H-M 'I m m m'
_symmetry_Int_Tables_number 71
_symmetry_space_group_name_Hall '-I 2 2'
loop_
_atom_site_label
_atom_site_type_symbol
_atom_site_fract_x
_atom_site_fract_y
_atom_site_fract_z
Pr1 Pr 0.000 0.000 0.191
Co1 Co 0.000 0.206 0.500
Si1 Si 0.000 0.500 0.000
C1 C 0.000 0.500 0.500

=====

[6]
# PBE Co2CS, relaxed
# crystal system	hexagonal
# final energy	-6.667	eV/atom
data_Co2CS
_chemical_formula_sum 'Co4 C2 S2'
_cell_length_a 3.0399
_cell_length_b 3.0399
_cell_length_c 10.3226
_cell_angle_alpha 90.00
_cell_angle_beta 90.00
_cell_angle_gamma 120.00
_symmetry_space_group_name_H-M 'P 63/m m c'
_symmetry_Int_Tables_number 194
_symmetry_space_group_name_Hall '-P 6c 2c'
loop_
_atom_site_label
_atom_site_type_symbol
_atom_site_fract_x
_atom_site_fract_y
_atom_site_fract_z
Co1 Co 0.3333 0.6667 0.0881
C1 C 0.0000 0.0000 0.0000
S1 S 0.3333 0.6667 0.7500

=====

Copy entry 3 word for word.
# PBE Zr4CoPbC2, relaxed
# crystal system	hexagonal
# final energy	-8.424	eV/atom
data_Zr4CoPbC2
_chemical_formula_sum 'Zr4 Co1 Pb1 C2'
_cell_length_a 3.3436
_cell_length_b 3.3436
_cell_length_c 14.0813
_cell_angle_alpha 90.00
_cell_angle_beta 90.00
_cell_angle_gamma 120.00
_symmetry_space_group_name_H-M 'P -6 m 2'
_symmetry_Int_Tables_number 187
_symmetry_space_group_name_Hall 'P -6 2'
loop_
_atom_site_label
_atom_site_type_symbol
_atom_site_fract_x
_atom_site_fract_y
_atom_site_fract_z
Zr1 Zr 0.0000 0.0000 0.1354
Zr2 Zr 0.6667 0.3333 0.3199
Co1 Co 0.6667 0.3333 0.0000
Pb1 Pb 0.0000 0.0000 0.5000
C1 C 0.3333 0.6667 0.2329

=====

Q: The highest final energy belongs to which entry?
A: Pm2CoC